# 1
Entry from the Alexandria database: a relaxed Sc2TlCCl crystal (GGA-PBE).

The spin magnetization is 0.0000 μB/atom. The energy relative to the elements, uncorrected comes out at 1118 meV per atom.

Unit cell a=4.740 b=5.436 c=4.740 alpha=90.00 beta=90.00 gamma=90.00
Positions (direct):
Cl 0.000 0.000 0.000
Sc 0.500 0.000 0.000
Sc 0.000 0.000 0.500
C 0.500 0.500 0.500
Tl 0.000 0.500 0.000


# 2
Entry from the Alexandria database: a relaxed KBi2Ru crystal (GGA-PBE).

As for the energy of formation: 0.376 eV/atom. Its energy above the most stable polymorph in this dataset is 0.113 eV/atom. The spin magnetization is 0.0000 μB/atom.

Unit cell a=5.135 b=5.135 c=5.135 alpha=60.00 beta=60.00 gamma=60.00
Positions (direct):
Ru 0.500 0.500 0.500
Bi 0.750 0.750 0.750
Bi 0.250 0.250 0.250
K 0.000 0.000 0.000


# 3
Entry from the Alexandria database: a relaxed Tb2ZrTl3Te6 crystal (GGA-PBE).

The spin magnetization is 0.0623 μB/atom. The energy relative to the elements, uncorrected comes out at -895 meV per atom.

Unit cell a=7.526 b=7.526 c=8.642 alpha=98.35 beta=98.35 gamma=119.96
Positions (direct):
Te 0.248 0.248 0.784
Te 0.391 0.070 0.212
Te 0.609 0.930 0.788
Te 0.930 0.609 0.788
Te 0.070 0.391 0.212
Te 0.752 0.752 0.216
Tb 0.666 0.334 0.000
Tb 0.334 0.666 0.000
Tl 0.172 0.828 0.500
Tl 0.828 0.172 0.500
Tl 0.500 0.500 0.500
Zr 0.000 0.000 0.000


# 4
Entry from the Alexandria database: a relaxed RbPaHS3 crystal (GGA-PBE).

The uncorrected energy is -32.70 eV/f.u. The spin magnetization is 0.0467 μB/atom.

Unit cell a=3.821 b=9.101 c=9.452 alpha=104.51 beta=90.00 gamma=90.00
Positions (direct):
Pa 0.250 0.671 0.171
Pa 0.750 0.329 0.829
S 0.250 0.554 0.867
S 0.250 0.733 0.444
S 0.750 0.446 0.133
S 0.750 0.859 0.125
S 0.750 0.267 0.556
S 0.250 0.141 0.875
H 0.250 0.280 0.612
H 0.750 0.720 0.388
Rb 0.250 0.181 0.249
Rb 0.750 0.819 0.751


# 5
Entry from the Alexandria database: a relaxed RbUAgS3 crystal (GGA-PBE).

The spin magnetization is 0.3333 μB/atom. The energy relative to the elements, uncorrected comes out at -1123 meV per atom.

Unit cell a=7.698 b=7.698 c=10.517 alpha=90.00 beta=90.00 gamma=148.94
Positions (direct):
S 0.943 0.057 0.750
S 0.381 0.619 0.463
S 0.619 0.381 0.537
S 0.057 0.943 0.250
S 0.619 0.381 0.963
S 0.381 0.619 0.037
U 0.000 0.000 0.000
U 0.000 0.000 0.500
Ag 0.547 0.453 0.750
Ag 0.453 0.547 0.250
Rb 0.262 0.738 0.750
Rb 0.738 0.262 0.250


# 6
Entry from the Alexandria database: a relaxed As2WBr crystal (GGA-PBE).

Its energy above the most stable polymorph in this dataset is 0.915 eV/atom. The spin magnetization is 0.0000 μB/atom. The energy relative to the elements, uncorrected comes out at 999 meV per atom.

Unit cell a=4.692 b=4.692 c=4.692 alpha=60.00 beta=60.00 gamma=60.00
Positions (direct):
W 0.500 0.500 0.500
As 0.250 0.250 0.250
As 0.750 0.750 0.750
Br 0.000 0.000 0.000


# 7
Entry from the Alexandria database: a relaxed MnCd8 crystal (GGA-PBE).

As for the energy of formation: 0.097 eV/atom. The spin magnetization is 0.4493 μB/atom.

Unit cell a=4.477 b=6.915 c=6.915 alpha=96.01 beta=108.89 gamma=71.11
Positions (direct):
Cd 0.338 0.000 0.675
Cd 0.662 0.000 0.325
Cd 0.000 0.328 0.328
Cd 0.000 0.672 0.672
Cd 0.662 0.675 0.000
Cd 0.338 0.325 0.000
Cd 0.328 0.672 0.328
Cd 0.672 0.328 0.672
Mn 0.000 0.000 0.000


# 8
Entry from the Alexandria database: a relaxed Mg2Zr4Ta crystal (GGA-PBE).

As for the energy of formation: 0.109 eV/atom. The spin magnetization is 0.0000 μB/atom.

Unit cell a=3.098 b=3.098 c=16.753 alpha=90.00 beta=95.30 gamma=90.00
Positions (direct):
Mg 0.792 0.500 0.583
Mg 0.208 0.500 0.417
Zr 0.065 0.500 0.130
Zr 0.365 0.000 0.731
Zr 0.635 0.000 0.269
Zr 0.935 0.500 0.870
Ta 0.500 0.000 0.000


- What is the formula in the sixth record?
  As2WBr